Entry from OQMD: an optimized crystal structure of HgTePb2O6 (PBE). Values from VASP.

```
&SYSTEM
  ibrav = 0, nat = 20, ntyp = 4
/
ATOMIC_SPECIES
Hg 200.59 Hg.upf
Te 127.60 Te.upf
Pb 207.20 Pb.upf
O 16.00 O.upf
CELL_PARAMETERS angstrom
6.6205 0.0000 0.0000
-3.0439 6.7515 0.0000
-0.1076 -0.2337 7.7983
ATOMIC_POSITIONS angstrom
Hg 0.7096 1.3654 0.9961
Hg 2.7593 5.1524 6.8022
Te 0.5783 1.7227 4.9600
Te 2.8906 4.7951 2.8383
Pb -0.5602 5.0007 5.0491
Pb -0.3410 5.0487 0.8434
Pb 3.8099 1.4690 6.9549
Pb 4.0291 1.5171 2.7491
O -1.8882 4.6957 6.8852
O -2.2698 5.8536 2.4413
O 0.1941 2.6137 3.3958
O 0.7903 2.9615 6.3122
O 2.1045 0.6821 4.8264
O 2.6529 0.7019 0.9917
O 0.8160 5.8159 6.8065
O 1.3644 5.8357 2.9719
O 2.6786 3.5563 1.4861
O 3.2748 3.9041 4.4024
O 5.7387 0.6642 5.3570
O 5.3571 1.8221 0.9131
```

Results
As for the raw total energy: -0.18108 Ha/atom. As for the density: 7.99 Mg/m³.